[1]
Cs5BiAu2 | PBE | optimized geometry

It has space group I4/mcm (No. 140), with a = 9.575 Å, b = 9.575 Å, c = 17.797 Å, α = 90.00°, β = 90.00° and γ = 90.00°. The asymmetric unit holds Cs at (0.000, 0.000, 0.000), Cs at (0.177, 0.323, 0.141), Bi at (0.000, 0.000, 0.250) and Au at (0.110, 0.390, 0.500).

The calculation puts the total DFT energy (no corrections) at -2.203 eV per atom. The value obtained for the volume is 51.0 A^3/atom. For the formation energy, the calculation gives -365 meV per atom.



[2]
Cs5Bi3Au3 | PBE | optimized geometry

It has space group P-62m (No. 189), with a = 12.0915 Å, b = 12.0915 Å, c = 5.0845 Å, α = 90.00°, β = 90.00° and γ = 120.00°. The asymmetric unit holds Cs at (0.0000, 0.7497, 0.0000), Cs at (0.3333, 0.6667, 0.0000), Bi at (0.0000, 0.3735, 0.0000) and Au at (0.0000, 0.2896, 0.5000).

The calculation puts the total DFT energy (no corrections) at -2.598 eV per atom. The value obtained for the volume is 58.5 A^3/atom. For the formation energy, the calculation gives -258 meV per atom.



[3]
Cs12BiAu5 | PBE | optimized geometry

It has space group Immm (No. 71), with a = 11.813 Å, b = 12.675 Å, c = 13.256 Å, α = 90.00°, β = 90.00° and γ = 90.00°. The asymmetric unit holds Cs at (0.000, 0.180, 0.242), Cs at (0.183, 0.500, 0.156), Cs at (0.213, 0.323, 0.500), Bi at (0.000, 0.000, 0.500), Au at (0.000, 0.000, 0.000), Au at (0.000, 0.325, 0.000) and Au at (0.000, 0.500, 0.388).

The calculation puts the total DFT energy (no corrections) at -1.938 eV per atom. The value obtained for the volume is 55.1 A^3/atom. For the formation energy, the calculation gives -243 meV per atom.



[4]
Cs2BiAu2 | PBE | optimized geometry

It has space group I4/mmm (No. 139), with a = 3.903 Å, b = 3.903 Å, c = 24.097 Å, α = 90.00°, β = 90.00° and γ = 90.00°. The asymmetric unit holds Cs at (0.000, 0.000, 0.119), Bi at (0.000, 0.000, 0.500) and Au at (0.000, 0.500, 0.250).

The calculation puts the total DFT energy (no corrections) at -2.629 eV per atom. The value obtained for the volume is 36.7 A^3/atom. For the formation energy, the calculation gives -200 meV per atom. As for the excess energy over the best structure of this formula in the dataset: 0.470 eV/f.u.



[5]
CsBi2Au | PBE | optimized geometry

It has space group Pnma (No. 62), with a = 7.717 Å, b = 10.880 Å, c = 8.546 Å, α = 90.00°, β = 90.00° and γ = 90.00°. The asymmetric unit holds Cs at (0.142, 0.250, 0.106), Bi at (0.151, 0.110, 0.586) and Au at (0.097, 0.750, 0.250).

The calculation puts the total DFT energy (no corrections) at -3.180 eV per atom. The value obtained for the volume is 44.8 A^3/atom. For the formation energy, the calculation gives -207 meV per atom. As for the excess energy over the best structure of this formula in the dataset: 0.260 eV/f.u.



[6]
Cs2BiAu2 | PBE | optimized geometry

It has space group I4/mmm (No. 139), with a = 5.073 Å, b = 5.073 Å, c = 14.845 Å, α = 90.00°, β = 90.00° and γ = 90.00°. The asymmetric unit holds Cs at (0.000, 0.500, 0.250), Bi at (0.000, 0.000, 0.000) and Au at (0.000, 0.000, 0.410).

The calculation puts the total DFT energy (no corrections) at -2.156 eV per atom. The value obtained for the volume is 38.2 A^3/atom. For the formation energy, the calculation gives 273 meV per atom. As for the excess energy over the best structure of this formula in the dataset: 2.834 eV/f.u.



[7]
CsBiAu | PBE | optimized geometry

It has space group C2/m (No. 12), with a = 18.015 Å, b = 6.207 Å, c = 9.698 Å, α = 90.00°, β = 121.84° and γ = 90.00°. The asymmetric unit holds Cs at (0.086, 0.000, 0.273), Cs at (0.167, 0.000, 0.857), Bi at (0.081, 0.500, 0.993), Bi at (0.169, 0.500, 0.583), Au at (0.023, 0.500, 0.658) and Au at (0.211, 0.500, 0.338).

The calculation puts the total DFT energy (no corrections) at -2.864 eV per atom. The value obtained for the volume is 38.4 A^3/atom. For the formation energy, the calculation gives -193 meV per atom. As for the excess energy over the best structure of this formula in the dataset: 0.316 eV/f.u.



[8]
Cs8BiAu2F | PBE | optimized geometry

It has space group P2/m (No. 10), with a = 8.488 Å, b = 10.504 Å, c = 8.510 Å, α = 90.00°, β = 91.67° and γ = 90.00°. The asymmetric unit holds Cs at (0.194, 0.211, 0.185), Cs at (0.264, 0.000, 0.728), Cs at (0.305, 0.500, 0.683), Bi at (0.000, 0.500, 0.000), Au at (0.500, 0.224, 0.500) and F at (0.000, 0.000, 0.000).

The calculation puts the total DFT energy (no corrections) at -2.208 eV per atom. Its raw formation energy is -0.61 eV/atom. The value obtained for the volume is 63.2 A^3/atom.



[9]
CsGeBiAu3 | PBE | optimized geometry

It has space group C2/c (No. 15), with a = 7.456 Å, b = 13.164 Å, c = 7.736 Å, α = 90.00°, β = 91.55° and γ = 90.00°. The asymmetric unit holds Cs at (0.000, 0.238, 0.250), Ge at (0.000, 0.068, 0.750), Bi at (0.000, 0.471, 0.750), Au at (0.000, 0.258, 0.750) and Au at (0.201, 0.006, 0.498).

The calculation puts the total DFT energy (no corrections) at -3.382 eV per atom. The value obtained for the volume is 31.6 A^3/atom. For the formation energy, the calculation gives -185 meV per atom.



[10]
Cs8BiHAu2 | PBE | optimized geometry

It has space group P2/m (No. 10), with a = 8.518 Å, b = 10.575 Å, c = 8.553 Å, α = 90.00°, β = 91.47° and γ = 90.00°. The asymmetric unit holds Cs at (0.209, 0.219, 0.178), Cs at (0.263, 0.000, 0.711), Cs at (0.288, 0.500, 0.667), Bi at (0.000, 0.500, 0.000), H at (0.000, 0.000, 0.000) and Au at (0.500, 0.230, 0.500).

The calculation puts the total DFT energy (no corrections) at -1.924 eV per atom. The value obtained for the volume is 64.2 A^3/atom.



[11]
CsBiHAu2 | PBE | optimized geometry

It has space group P4/mmm (No. 123), with a = 5.672 Å, b = 5.672 Å, c = 4.576 Å, α = 90.00°, β = 90.00° and γ = 90.00°. The asymmetric unit holds Cs at (0.000, 0.000, 0.000), Bi at (0.500, 0.500, 0.500), H at (0.500, 0.500, 0.000) and Au at (0.000, 0.500, 0.500).

The calculation puts the total DFT energy (no corrections) at -2.960 eV per atom. The value obtained for the volume is 29.4 A^3/atom.



[12]
CsHgBiAu3 | PBE | optimized geometry

It has space group P2_1/m (No. 11), with a = 7.290 Å, b = 7.472 Å, c = 8.140 Å, α = 90.00°, β = 116.55° and γ = 90.00°. The asymmetric unit holds Cs at (0.224, 0.250, 0.449), Hg at (0.120, 0.750, 0.240), Bi at (0.493, 0.750, 0.986), Au at (0.190, 0.000, 0.000) and Au at (0.306, 0.750, 0.611).

The calculation puts the total DFT energy (no corrections) at -2.631 eV per atom. The value obtained for the volume is 33.1 A^3/atom. For the formation energy, the calculation gives -153 meV per atom.



[13]
Cs2Hg6BiAu | PBE | optimized geometry

It has space group C2/m (No. 12), with a = 14.511 Å, b = 6.604 Å, c = 9.850 Å, α = 90.00°, β = 128.20° and γ = 90.00°. The asymmetric unit holds Cs at (0.236, 0.000, 0.188), Hg at (0.008, 0.250, 0.276), Hg at (0.242, 0.000, 0.587), Bi at (0.000, 0.500, 0.000) and Au at (0.000, 0.000, 0.500).

The calculation puts the total DFT energy (no corrections) at -1.244 eV per atom. The value obtained for the volume is 37.1 A^3/atom. For the formation energy, the calculation gives -176 meV per atom.



[14]
CsHgBiAu2 | PBE | optimized geometry

It has space group P4/mmm (No. 123), with a = 5.627 Å, b = 5.627 Å, c = 6.042 Å, α = 90.00°, β = 90.00° and γ = 90.00°. The asymmetric unit holds Cs at (0.000, 0.000, 0.000), Hg at (0.500, 0.500, 0.000), Bi at (0.500, 0.500, 0.500) and Au at (0.000, 0.500, 0.500).

The calculation puts the total DFT energy (no corrections) at -2.406 eV per atom. The value obtained for the volume is 38.3 A^3/atom. For the formation energy, the calculation gives -88 meV per atom.



[15]
Cs2HgBiAu | PBE | optimized geometry

It has space group P4/mmm (No. 123), with a = 7.049 Å, b = 7.049 Å, c = 5.446 Å, α = 90.00°, β = 90.00° and γ = 90.00°. The asymmetric unit holds Cs at (0.000, 0.500, 0.000), Hg at (0.000, 0.000, 0.500), Bi at (0.500, 0.500, 0.500) and Au at (0.500, 0.500, 0.000).

The calculation puts the total DFT energy (no corrections) at -2.049 eV per atom. The value obtained for the volume is 54.1 A^3/atom. For the formation energy, the calculation gives -215 meV per atom.



[16]
Cs3Hg9BiAu2 | PBE | optimized geometry

It has space group P-3m1 (No. 164), with a = 7.8185 Å, b = 7.8185 Å, c = 10.8153 Å, α = 90.00°, β = 90.00° and γ = 120.00°. The asymmetric unit holds Cs at (0.0000, 0.0000, 0.0000), Cs at (0.3333, 0.6667, 0.6420), Hg at (0.0000, 0.5000, 0.0000), Hg at (0.1627, 0.3253, 0.2974), Bi at (0.0000, 0.0000, 0.5000) and Au at (0.3333, 0.6667, 0.1517).

The calculation puts the total DFT energy (no corrections) at -1.212 eV per atom. The value obtained for the volume is 38.2 A^3/atom. For the formation energy, the calculation gives -164 meV per atom.



[17]
CsHg2BiAu | PBE | optimized geometry

It has space group P4/mmm (No. 123), with a = 5.567 Å, b = 5.567 Å, c = 5.834 Å, α = 90.00°, β = 90.00° and γ = 90.00°. The asymmetric unit holds Cs at (0.000, 0.000, 0.000), Hg at (0.000, 0.500, 0.500), Bi at (0.500, 0.500, 0.000) and Au at (0.500, 0.500, 0.500).

The calculation puts the total DFT energy (no corrections) at -1.785 eV per atom. The value obtained for the volume is 36.2 A^3/atom. For the formation energy, the calculation gives -62 meV per atom. As for the excess energy over the best structure of this formula in the dataset: 0.137 eV/f.u.



[18]
Cs4Hg2Bi2Au | PBE | optimized geometry

It has space group C2/m (No. 12), with a = 14.704 Å, b = 10.740 Å, c = 5.621 Å, α = 90.00°, β = 95.20° and γ = 90.00°. The asymmetric unit holds Cs at (0.117, 0.244, 0.223), Hg at (0.201, 0.000, 0.743), Bi at (0.178, 0.500, 0.718) and Au at (0.000, 0.500, 0.500).

The calculation puts the total DFT energy (no corrections) at -1.982 eV per atom. The value obtained for the volume is 49.1 A^3/atom. For the formation energy, the calculation gives -309 meV per atom.



[19]
CsHg2BiAu | PBE | optimized geometry

It has space group P4/mmm (No. 123), with a = 6.037 Å, b = 6.037 Å, c = 5.685 Å, α = 90.00°, β = 90.00° and γ = 90.00°. The asymmetric unit holds Cs at (0.000, 0.000, 0.000), Hg at (0.000, 0.500, 0.500), Bi at (0.500, 0.500, 0.500) and Au at (0.500, 0.500, 0.000).

The calculation puts the total DFT energy (no corrections) at -1.812 eV per atom. The value obtained for the volume is 41.4 A^3/atom. For the formation energy, the calculation gives -89 meV per atom. As for the excess energy over the best structure of this formula in the dataset: 0.000 eV/f.u.



[20]
Cs2HgBi2Au | PBE | optimized geometry

It has space group Ibam (No. 72), with a = 7.609 Å, b = 17.070 Å, c = 7.573 Å, α = 90.00°, β = 90.00° and γ = 90.00°. The asymmetric unit holds Cs at (0.243, 0.162, 0.000), Hg at (0.000, 0.000, 0.250), Bi at (0.228, 0.418, 0.000) and Au at (0.000, 0.500, 0.250).

The calculation puts the total DFT energy (no corrections) at -2.409 eV per atom. The value obtained for the volume is 41.0 A^3/atom. For the formation energy, the calculation gives -235 meV per atom.



[21]
Cs2HgBi2Au2 | PBE | optimized geometry

It has space group C2/m (No. 12), with a = 12.683 Å, b = 5.307 Å, c = 10.001 Å, α = 90.00°, β = 125.84° and γ = 90.00°. The asymmetric unit holds Cs at (0.228, 0.000, 0.295), Hg at (0.000, 0.000, 0.500), Bi at (0.097, 0.500, 0.945) and Au at (0.116, 0.000, 0.844).

The calculation puts the total DFT energy (no corrections) at -2.596 eV per atom. The value obtained for the volume is 39.0 A^3/atom. For the formation energy, the calculation gives -264 meV per atom.



[22]
Cs2BiAuI6 | PBE | optimized geometry

It has space group Fm-3m (No. 225), with a = 12.188 Å, b = 12.188 Å, c = 12.188 Å, α = 90.00°, β = 90.00° and γ = 90.00°. The asymmetric unit holds Cs at (0.250, 0.250, 0.250), Bi at (0.000, 0.000, 0.000), Au at (0.000, 0.000, 0.500) and I at (0.000, 0.000, 0.255).

The calculation puts the total DFT energy (no corrections) at -2.604 eV per atom. Its raw formation energy is -0.79 eV/atom. The value obtained for the volume is 45.3 A^3/atom.